[1]
LiAgRu2 | Alexandria via LeMat-Bulk | PBE | optimized geometry; ΔE_f = 308 meV per atom
1.0
2.710 -0.014 0.000
-1.253 2.403 0.000
0.000 0.000 9.325
Ru Li Ag
2 1 1
Direct
0.000 0.000 0.002 Ru
0.500 0.500 0.233 Ru
0.500 0.500 0.759 Li
0.000 0.000 0.507 Ag

---

[2]
AlCu2Sb2 | Alexandria via LeMat-Bulk | PBE | optimized geometry; ΔE_f (raw) = 0.9 eV/f.u.
1.0
-4.298 -3.117 -4.470
-3.545 -2.724 5.309
-2.338 3.147 0.054
Sb Al Cu
4 2 4
Direct
0.824 0.324 0.500 Sb
0.176 0.676 0.500 Sb
0.324 0.176 0.500 Sb
0.676 0.824 0.500 Sb
0.000 0.000 0.000 Al
0.500 0.500 0.000 Al
0.372 0.872 0.000 Cu
0.872 0.628 0.000 Cu
0.128 0.372 0.000 Cu
0.628 0.128 0.000 Cu

---

[3]
V2ZnC | Alexandria via LeMat-Bulk | PBE | optimized geometry; ΔE_f = 812 meV per atom
1.0
0.000 2.825 2.825
2.825 0.000 2.825
2.825 2.825 0.000
V C Zn
2 1 1
Direct
0.250 0.250 0.250 V
0.750 0.750 0.750 V
0.000 0.000 0.000 C
0.500 0.500 0.500 Zn